(1)
# TmMnSi PBE relaxed
data_TmMnSi
_chemical_formula_sum 'Tm4 Mn4 Si4'
_symmetry_space_group_name_H-M 'P n m a'
_symmetry_Int_Tables_number 62
_symmetry_space_group_name_Hall '-P 2ac 2n'
_cell_length_a 6.8526
_cell_length_b 4.0468
_cell_length_c 7.5211
_cell_angle_alpha 90.00
_cell_angle_beta 90.00
_cell_angle_gamma 90.00
loop_
_atom_site_label
_atom_site_fract_x
_atom_site_fract_y
_atom_site_fract_z
Tm1 0.0109 0.2500 0.1864
Mn1 0.1410 0.2500 0.5599
Si1 0.2133 0.7500 0.3886
# **Formation energy (no corrections)**: -0.54 eV per atom
# **Calculated total energy**: -6.893 eV/atom
# **Size of the total moment**: 9.00 μB per cell


(2)
# TmMn5Si3 PBE relaxed
data_TmMn5Si3
_chemical_formula_sum 'Tm4 Mn20 Si12'
_symmetry_space_group_name_H-M 'C m c m'
_symmetry_Int_Tables_number 63
_symmetry_space_group_name_Hall '-C 2c 2'
_cell_length_a 3.8357
_cell_length_b 12.1108
_cell_length_c 10.9867
_cell_angle_alpha 90.00
_cell_angle_beta 90.00
_cell_angle_gamma 90.00
loop_
_atom_site_label
_atom_site_fract_x
_atom_site_fract_y
_atom_site_fract_z
Tm1 0.0000 0.1709 0.2500
Mn1 0.0000 0.0000 0.0000
Mn2 0.0000 0.1927 0.5529
Mn3 0.0000 0.4408 0.1478
Si1 0.0000 0.1237 0.7500
Si2 0.0000 0.3824 0.5589
# **Formation energy (no corrections)**: -0.35 eV per atom
# **Calculated total energy**: -7.752 eV/atom
# **Size of the total moment**: 28.42 μB per cell


The lowest formation energy (no corrections) belongs to which entry? TmMnSi


calculated total energy of number 2 (TmMn5Si3)? -7.752 eV/atom


calculated total energy of number 2 (TmMn5Si3)? -7.752 eV/atom